Material: TbHo2Pt2
Method: DFT, PBE
State: relaxed

Output
Theoretical density = 12.34 g cm⁻³
Energy relative to the elements = -1072 meV/atom
SG = P4/mbm (127)
Calculated total energy = -62.46 eV per cell
Energy above the lowest structure with this stoichiometry = 0 meV/atom

```
TbHo2Pt2
1.0
-3.821 0.904 -0.463
-1.894 -5.270 5.336
0.602 5.378 5.526
Tb Ho Pt
2 4 4
Cartesian
-0.646 0.054 5.431 Tb
0.000 0.000 0.000 Tb
-1.816 3.159 4.270 Ho
-2.458 -0.478 2.466 Ho
-2.655 1.490 7.931 Ho
-3.296 -2.146 6.127 Ho
-0.165 2.729 6.683 Pt
-1.127 -2.620 4.178 Pt
-1.246 -1.099 8.125 Pt
-0.046 1.208 2.736 Pt
```